Record 1
Density functional theory data (PBE) for BaSrCaLa after structural relaxation.

- E_form (kcal/mol of atoms) = 3.3
- V (Å³ per cell) = 756.6

POSCAR file:
```
BaSrCaLa
1.0
9.112 0.000 0.000
0.000 9.112 0.000
0.000 0.000 9.112
Ba Sr Ca La
4 4 4 4
Direct
0.000 0.000 0.000
0.000 0.500 0.500
0.500 0.000 0.500
0.500 0.500 0.000
0.250 0.250 0.750
0.250 0.750 0.250
0.750 0.250 0.250
0.750 0.750 0.750
0.000 0.000 0.500
0.000 0.500 0.000
0.500 0.000 0.000
0.500 0.500 0.500
0.250 0.250 0.250
0.250 0.750 0.750
0.750 0.250 0.750
0.750 0.750 0.250
```

=====

Record 2
Density functional theory data (PBE) for BaPmGaS4 after structural relaxation.

- ΔE_f (raw) (eV/atom) = -1.616
- V (Å³ per cell) = 364.2

POSCAR file:
```
BaPmGaS4
1.0
6.645 0.000 0.000
0.000 6.742 0.000
-2.573 0.000 8.128
Ba Pm Ga S
2 2 2 8
Direct
0.241 0.250 0.436
0.759 0.750 0.564
0.276 0.250 0.946
0.724 0.750 0.054
0.269 0.750 0.178
0.731 0.250 0.822
0.060 0.750 0.915
0.073 0.750 0.355
0.496 0.507 0.776
0.496 0.993 0.776
0.504 0.007 0.224
0.504 0.493 0.224
0.927 0.250 0.645
0.940 0.250 0.085
```

=====

Record 3
Density functional theory data (PBE) for ZnAsP2O after structural relaxation.

- E above lowest polymorph (eV per formula unit) = 0.674
- ΔE_f (raw) (eV/atom) = 0.552
- V (Å³ per cell) = 82.7

POSCAR file:
```
ZnAsP2O
1.0
4.758 0.000 0.000
0.000 4.758 0.000
0.000 0.000 3.652
Zn As P O
1 1 2 1
Direct
0.000 0.000 0.000
0.500 0.500 0.500
0.000 0.500 0.000
0.500 0.000 0.000
0.000 0.000 0.500
```

=====

Record 4
Density functional theory data (PBE) for TaV after structural relaxation.

- E_form (kcal/mol of atoms) = 23.5
- E above lowest polymorph (eV per formula unit) = 1.985
- V (Å³ per cell) = 141.8

POSCAR file:
```
TaV
1.0
5.215 0.000 0.000
0.000 5.215 0.000
0.000 0.000 5.215
Ta V
4 4
Direct
0.000 0.000 0.000
0.000 0.500 0.500
0.500 0.000 0.500
0.500 0.500 0.000
0.000 0.000 0.500
0.000 0.500 0.000
0.500 0.000 0.000
0.500 0.500 0.500
```

=====

Record 5
Density functional theory data (PBE) for SrVSe2Br after structural relaxation.

- E above lowest polymorph (eV per formula unit) = 0.000
- ΔE_f (raw) (eV/atom) = -1.037
- V (Å³ per cell) = 129.4

POSCAR file:
```
SrVSe2Br
1.0
5.006 0.000 0.000
0.000 5.006 0.000
0.000 0.000 5.164
Sr V Se Br
1 1 2 1
Direct
0.000 0.000 0.000
0.500 0.500 0.500
0.000 0.500 0.500
0.500 0.000 0.500
0.500 0.500 0.000
```

=====

Record 6
Density functional theory data (PBE) for YAl3Se after structural relaxation.

- E above lowest polymorph (eV per formula unit) = 0.000
- ΔE_f (raw) (eV/atom) = 0.306
- V (Å³ per cell) = 123.1

POSCAR file:
```
YAl3Se
1.0
4.975 0.000 0.000
0.000 4.975 0.000
0.000 0.000 4.975
Y Al Se
1 3 1
Direct
0.000 0.000 0.000
0.000 0.500 0.500
0.500 0.000 0.500
0.500 0.500 0.000
0.500 0.500 0.500
```

=====

Record 7
Density functional theory data (PBE) for K2LaInBr6 after structural relaxation.

- ΔE_f (raw) (eV/atom) = -1.641
- V (Å³ per cell) = 786.7

POSCAR file:
```
K2LaInBr6
1.0
7.953 0.000 0.000
0.000 8.558 0.000
-7.638 0.000 11.558
K La In Br
4 2 2 12
Direct
0.210 0.084 0.244
0.210 0.416 0.744
0.790 0.584 0.256
0.790 0.916 0.756
0.500 0.000 0.000
0.500 0.500 0.500
0.000 0.000 0.500
0.000 0.500 0.000
0.136 0.179 0.936
0.136 0.321 0.436
0.254 0.711 0.922
0.254 0.789 0.422
0.405 0.059 0.765
0.405 0.441 0.265
0.595 0.559 0.735
0.595 0.941 0.235
0.746 0.211 0.578
0.746 0.289 0.078
0.864 0.679 0.564
0.864 0.821 0.064
```

=====

Record 8
Density functional theory data (PBE) for Rb2SnHgPd after structural relaxation.

- E_form (kcal/mol of atoms) = -2.6
- V (Å³ per cell) = 221.2

POSCAR file:
```
Rb2SnHgPd
1.0
6.594 0.000 0.000
0.000 6.594 0.000
0.000 0.000 5.089
Rb Sn Hg Pd
2 1 1 1
Direct
0.000 0.500 0.000
0.500 0.000 0.000
0.000 0.000 0.500
0.500 0.500 0.500
0.000 0.000 0.000
```

=====

Record 9
Density functional theory data (PBE) for Pm5Te4Ru after structural relaxation.

- ΔE_f (raw) (eV/atom) = -1.160
- V (Å³ per cell) = 310.9

POSCAR file:
```
Pm5Te4Ru
1.0
-4.954 4.954 3.167
4.954 -4.954 3.167
4.954 4.954 -3.167
Pm Te Ru
5 4 1
Direct
0.000 0.000 0.000
0.241 0.591 0.832
0.409 0.241 0.649
0.591 0.759 0.351
0.759 0.409 0.168
0.090 0.308 0.399
0.308 0.910 0.218
0.692 0.090 0.782
0.910 0.692 0.601
0.500 0.500 0.000
```

=====

Record 10
Density functional theory data (PBE) for Tb2Ce3PrAs6 after structural relaxation.

- E_form (kcal/mol of atoms) = -34.0
- V (Å³ per cell) = 315.6

POSCAR file:
```
Tb2Ce3PrAs6
1.0
3.644 -6.311 0.000
3.644 6.311 0.000
-2.432 0.000 6.862
Tb Ce Pr As
2 3 1 6
Direct
0.167 0.833 0.000
0.833 0.167 0.000
0.000 0.000 0.500
0.335 0.665 0.500
0.665 0.335 0.500
0.500 0.500 0.000
0.077 0.416 0.749
0.244 0.244 0.250
0.416 0.077 0.749
0.584 0.923 0.251
0.756 0.756 0.750
0.923 0.584 0.251
```

=====

Record 11
Density functional theory data (PBE) for EuGaO3 after structural relaxation.

- ΔE_f (raw) (eV/atom) = -2.265
- V (Å³ per cell) = 235.9

POSCAR file:
```
EuGaO3
1.0
5.583 0.000 0.000
0.000 7.722 0.000
0.000 0.000 5.471
Eu Ga O
4 4 12
Direct
0.047 0.250 0.008
0.453 0.750 0.508
0.547 0.250 0.492
0.953 0.750 0.992
0.000 0.000 0.500
0.000 0.500 0.500
0.500 0.000 0.000
0.500 0.500 0.000
0.024 0.750 0.416
0.201 0.543 0.798
0.201 0.957 0.798
0.299 0.043 0.298
0.299 0.457 0.298
0.476 0.250 0.916
0.524 0.750 0.084
0.701 0.543 0.702
0.701 0.957 0.702
0.799 0.043 0.202
0.799 0.457 0.202
0.976 0.250 0.584
```

=====

Record 12
Density functional theory data (PBE) for Mg2Zn2Ga3 after structural relaxation.

- E_form (kcal/mol of atoms) = -1.4
- E above lowest polymorph (eV per formula unit) = 0.000
- V (Å³ per cell) = 259.9

POSCAR file:
```
Mg2Zn2Ga3
1.0
9.748 0.000 0.000
0.000 4.032 0.000
-0.773 0.000 6.613
Mg Zn Ga
4 4 6
Direct
0.121 0.000 0.334
0.379 0.500 0.666
0.621 0.500 0.334
0.879 0.000 0.666
0.092 0.500 0.644
0.408 0.000 0.356
0.592 0.000 0.644
0.908 0.500 0.356
0.000 0.500 0.000
0.195 0.000 0.866
0.305 0.500 0.134
0.500 0.000 0.000
0.695 0.500 0.866
0.805 0.000 0.134
```

=====

Values of energy, in order: -2.489 -5.360 -3.788 -9.466 -4.926 -3.929 -3.631 -2.398 -5.719 -6.455 -7.900 -2.179, all in eV per atom.